Record 1
Compound: HgBr
Source: OQMD via LeMat-Bulk
Functional: GGA-PBE
Structure: optimized geometry

Summary:
offset from the most stable computed form = 345.4 meV/atom
symmetry = P-6m2

Lattice parameters (Å, degrees): 3.852 3.852 4.229 90.00 90.00 120.00
Sites, in units of the cell vectors:
Br: 0.667 0.333 0.750
Hg: 0.333 0.667 0.250

---

Record 2
Compound: Hg2Br
Source: OQMD via LeMat-Bulk
Functional: GGA-PBE
Structure: optimized geometry

Summary:
symmetry = Fd-3m
energy = -0.710 eV/atom

Lattice parameters (Å, degrees): 6.023 6.023 6.023 60.00 60.00 60.00
Sites, in units of the cell vectors:
Br: 0.000 0.000 0.000
Br: 0.250 0.250 0.250
Hg: 0.625 0.625 0.125
Hg: 0.625 0.125 0.625
Hg: 0.125 0.625 0.625
Hg: 0.625 0.625 0.625

---

Record 3
Compound: HgBr
Source: OQMD via LeMat-Bulk
Functional: GGA-PBE
Structure: optimized geometry

Summary:
offset from the most stable computed form = 332.4 meV/atom
symmetry = P6_3/mmc

Lattice parameters (Å, degrees): 4.496 4.496 6.775 90.00 90.00 120.00
Sites, in units of the cell vectors:
Br: 0.333 0.667 0.250
Br: 0.667 0.333 0.750
Hg: 0.000 0.000 0.000
Hg: 0.000 0.000 0.500

---

Record 4
Compound: HgBr
Source: OQMD via LeMat-Bulk
Functional: GGA-PBE
Structure: optimized geometry

Summary:
offset from the most stable computed form = 258.4 meV/atom
symmetry = Fm-3m

Lattice parameters (Å, degrees): 4.354 4.354 4.354 60.00 60.00 60.00
Sites, in units of the cell vectors:
Br: 0.000 0.000 0.000
Hg: 0.500 0.500 0.500

---

Record 5
Compound: HgBr
Source: OQMD via LeMat-Bulk
Functional: GGA-PBE
Structure: optimized geometry

Summary:
offset from the most stable computed form = 0.0 meV/atom
symmetry = I4/mmm

Lattice parameters (Å, degrees): 6.590 6.590 6.590 137.56 137.56 61.58
Sites, in units of the cell vectors:
Br: 0.345 0.345 0.000
Br: 0.655 0.655 0.000
Hg: 0.116 0.116 0.000
Hg: 0.884 0.884 0.000

---

Record 6
Compound: HgBr3
Source: OQMD via LeMat-Bulk
Functional: GGA-PBE
Structure: optimized geometry

Summary:
symmetry = C2
energy = -1.644 eV/atom

Lattice parameters (Å, degrees): 7.057 7.057 9.446 120.31 120.31 52.64
Sites, in units of the cell vectors:
Br: 0.261 0.739 0.000
Br: 0.629 0.163 0.184
Br: 0.009 0.506 0.361
Br: 0.255 0.745 0.500
Br: 0.494 0.991 0.639
Br: 0.837 0.371 0.816
Hg: 0.182 0.200 0.085
Hg: 0.800 0.818 0.915

---

Record 7
Compound: HgBr
Source: OQMD via LeMat-Bulk
Functional: GGA-PBE
Structure: optimized geometry

Summary:
offset from the most stable computed form = 327.7 meV/atom
symmetry = P6_3/mmc

Lattice parameters (Å, degrees): 4.381 4.381 6.973 90.00 90.00 120.00
Sites, in units of the cell vectors:
Br: 0.000 0.000 0.000
Br: 0.000 0.000 0.500
Hg: 0.333 0.667 0.250
Hg: 0.667 0.333 0.750

---

Record 8
Compound: HoHg3Se4Br
Source: OQMD via LeMat-Bulk
Functional: GGA-PBE
Structure: optimized geometry

Summary:
symmetry = P6_3mc
total magnetization = 0.0 Bohr magnetons per cell
energy = -2.949 eV/atom

Lattice parameters (Å, degrees): 8.134 8.134 8.550 90.00 90.00 120.00
Sites, in units of the cell vectors:
Br: 0.667 0.333 0.050
Br: 0.333 0.667 0.550
Hg: 0.017 0.508 0.275
Hg: 0.492 0.508 0.275
Hg: 0.492 0.983 0.275
Hg: 0.508 0.017 0.775
Hg: 0.508 0.492 0.775
Hg: 0.983 0.492 0.775
Ho: 0.000 0.000 0.118
Ho: 0.000 0.000 0.618
Se: 0.333 0.667 0.113
Se: 0.284 0.142 0.359
Se: 0.858 0.142 0.359
Se: 0.858 0.716 0.359
Se: 0.667 0.333 0.613
Se: 0.142 0.284 0.859
Se: 0.142 0.858 0.859
Se: 0.716 0.858 0.859